[1]
VASP calculation (GGA-PBE) on a geometry-optimized Ba2NaCd3Ag4 structure.

a = 4.981 Å, b = 4.981 Å, c = 11.403 Å
α = 90.00°, β = 90.00°, γ = 90.00°
Element x y z (fractional)
Na 0.500 0.500 0.500
Cd 0.000 0.500 0.120
Cd 0.500 0.000 0.880
Cd 0.000 0.000 0.500
Ag 0.000 0.500 0.364
Ag 0.500 0.000 0.636
Ag 0.500 0.500 0.000
Ag 0.000 0.000 0.000
Ba 0.500 0.000 0.235
Ba 0.000 0.500 0.765

Its total energy is -2.14 eV per atom. Its formation energy from the elements is -0.21 eV per atom.



[2]
VASP calculation (GGA-PBE) on a geometry-optimized BaNa2Cd2Ag2 structure.

a = 4.966 Å, b = 4.966 Å, c = 10.016 Å
α = 75.65°, β = 75.65°, γ = 60.00°
Element x y z (fractional)
Cd 0.253 0.253 0.242
Cd 0.747 0.747 0.758
Ba 0.000 0.000 0.000
Na 0.865 0.865 0.405
Na 0.135 0.135 0.595
Ag 0.414 0.414 0.757
Ag 0.586 0.586 0.243

Its total energy is -1.88 eV per atom. Its formation energy from the elements is -0.15 eV per atom.



[3]
VASP calculation (GGA-PBE) on a geometry-optimized Ba2NaCdAg6 structure.

a = 7.528 Å, b = 7.528 Å, c = 7.528 Å
α = 60.00°, β = 60.00°, γ = 90.00°
Element x y z (fractional)
Cd 0.000 0.000 0.000
Ag 0.252 0.252 0.000
Ag 0.252 0.252 0.497
Ag 0.252 0.748 0.000
Ag 0.748 0.748 0.000
Ag 0.748 0.252 0.000
Ag 0.748 0.748 0.503
Na 0.500 0.500 0.000
Ba 0.250 0.750 0.500
Ba 0.750 0.250 0.500

Its total energy is -2.21 eV per atom. Its formation energy from the elements is 0.11 eV per atom.



[4]
VASP calculation (GGA-PBE) on a geometry-optimized Ba2NdCd12Ag3 structure.

a = 10.407 Å, b = 10.407 Å, c = 10.407 Å
α = 47.77°, β = 47.77°, γ = 47.77°
Element x y z (fractional)
Cd 0.771 0.771 0.144
Cd 0.847 0.488 0.847
Cd 0.153 0.153 0.512
Cd 0.153 0.512 0.153
Cd 0.847 0.847 0.488
Cd 0.229 0.229 0.856
Cd 0.229 0.856 0.229
Cd 0.512 0.153 0.153
Cd 0.144 0.771 0.771
Cd 0.856 0.229 0.229
Cd 0.771 0.144 0.771
Cd 0.488 0.847 0.847
Ag 0.500 0.000 0.000
Ag 0.000 0.000 0.500
Ag 0.000 0.500 0.000
Ba 0.383 0.383 0.383
Ba 0.617 0.617 0.617
Nd 0.000 0.000 0.000

Its total energy is -1.53 eV per atom. Its formation energy from the elements is 0.03 eV per atom.



[5]
VASP calculation (GGA-PBE) on a geometry-optimized Ba2CdAg3O6 structure.

a = 4.117 Å, b = 4.117 Å, c = 12.421 Å
α = 90.00°, β = 90.00°, γ = 90.00°
Each line ends with the local moment (μB).
Element x y z (fractional)
O 0.000 0.500 0.376  0.00
O 0.500 0.000 0.624  0.00
O 0.000 0.000 0.163  0.11
O 0.000 0.000 0.837  0.11
O 0.000 0.500 0.624  0.00
O 0.500 0.000 0.376  0.00
Ag 0.000 0.000 0.623  0.00
Ag 0.000 0.000 0.377  0.00
Ag 0.000 0.000 0.000  0.06
Cd 0.500 0.500 0.500  0.00
Ba 0.500 0.500 0.789  0.00
Ba 0.500 0.500 0.211  0.00

Its total energy is -4.59 eV per atom. The raw formation energy is -1.004 eV per atom.



[6]
VASP calculation (GGA-PBE) on a geometry-optimized BaCdAg2Os structure.

a = 5.279 Å, b = 5.418 Å, c = 5.279 Å
α = 90.00°, β = 90.00°, γ = 90.00°
Each line ends with the local moment (μB).
Element x y z (fractional)
Cd 0.500 0.500 0.500  0.00
Ag 0.000 0.000 0.500  0.04
Ag 0.500 0.000 0.000  0.01
Ba 0.000 0.500 0.000  -0.01
Os 0.000 0.000 0.000  0.30

Its total energy is -3.09 eV per atom. Its formation energy from the elements is 0.86 eV per atom.



[7]
VASP calculation (GGA-PBE) on a geometry-optimized BaCd2Ag4Pb structure.

a = 4.830 Å, b = 4.830 Å, c = 10.626 Å
α = 76.86°, β = 76.86°, γ = 60.00°
Element x y z (fractional)
Ag 0.118 0.118 0.646
Ag 0.596 0.596 0.212
Ag 0.882 0.882 0.354
Ag 0.404 0.404 0.788
Pb 0.500 0.500 0.500
Ba 0.000 0.000 0.000
Cd 0.754 0.754 0.739
Cd 0.246 0.246 0.261

Its total energy is -2.43 eV per atom. Its formation energy from the elements is -0.07 eV per atom.



[8]
VASP calculation (GGA-PBE) on a geometry-optimized Ba2Cd3AgPb4 structure.

a = 5.044 Å, b = 5.044 Å, c = 12.466 Å
α = 90.00°, β = 90.00°, γ = 90.00°
Element x y z (fractional)
Pb 0.500 0.500 0.000
Pb 0.500 0.000 0.626
Pb 0.000 0.000 0.000
Pb 0.000 0.500 0.374
Ba 0.500 0.000 0.264
Ba 0.000 0.500 0.736
Cd 0.000 0.500 0.141
Cd 0.500 0.000 0.859
Cd 0.000 0.000 0.500
Ag 0.500 0.500 0.500

Its total energy is -2.73 eV per atom. Its formation energy from the elements is -0.31 eV per atom.



[9]
VASP calculation (GGA-PBE) on a geometry-optimized Ba2Cd3Ag4Pb structure.

a = 4.894 Å, b = 4.894 Å, c = 11.705 Å
α = 90.00°, β = 90.00°, γ = 90.00°
Element x y z (fractional)
Cd 0.500 0.000 0.878
Cd 0.000 0.500 0.122
Cd 0.000 0.000 0.500
Ba 0.500 0.000 0.245
Ba 0.000 0.500 0.755
Ag 0.500 0.500 0.000
Ag 0.500 0.000 0.640
Ag 0.000 0.000 0.000
Ag 0.000 0.500 0.360
Pb 0.500 0.500 0.500

Its total energy is -2.40 eV per atom. Its formation energy from the elements is -0.23 eV per atom.



[10]
VASP calculation (GGA-PBE) on a geometry-optimized Ba2Cd6AgPb structure.

a = 7.315 Å, b = 7.315 Å, c = 14.014 Å
α = 74.87°, β = 74.87°, γ = 60.00°
Element x y z (fractional)
Ag 0.000 0.000 0.000
Ag 0.500 0.500 0.500
Cd 0.073 0.674 0.579
Cd 0.326 0.927 0.421
Cd 0.223 0.223 0.924
Cd 0.927 0.326 0.421
Cd 0.223 0.631 0.924
Cd 0.777 0.777 0.076
Cd 0.777 0.369 0.076
Cd 0.674 0.073 0.579
Cd 0.631 0.223 0.924
Cd 0.326 0.326 0.421
Cd 0.369 0.777 0.076
Cd 0.674 0.674 0.579
Ba 0.894 0.894 0.318
Ba 0.106 0.106 0.682
Ba 0.278 0.278 0.166
Ba 0.722 0.722 0.834
Pb 0.576 0.576 0.272
Pb 0.424 0.424 0.728

Its total energy is -1.78 eV per atom. Its formation energy from the elements is -0.19 eV per atom.



[11]
VASP calculation (GGA-PBE) on a geometry-optimized BaCdAgPb2 structure.

a = 4.969 Å, b = 4.969 Å, c = 7.204 Å
α = 110.17°, β = 110.17°, γ = 90.00°
Element x y z (fractional)
Ba 0.000 0.000 0.000
Pb 0.621 0.621 0.243
Pb 0.379 0.379 0.757
Ag 0.250 0.750 0.500
Cd 0.750 0.250 0.500

Its total energy is -2.89 eV per atom. Its formation energy from the elements is -0.27 eV per atom.



[12]
VASP calculation (GGA-PBE) on a geometry-optimized Ba2CdAgPb6 structure.

a = 7.641 Å, b = 7.641 Å, c = 14.535 Å
α = 74.76°, β = 74.76°, γ = 60.00°
Element x y z (fractional)
Pb 0.925 0.338 0.399
Pb 0.773 0.773 0.114
Pb 0.338 0.338 0.399
Pb 0.773 0.339 0.114
Pb 0.661 0.227 0.886
Pb 0.227 0.661 0.886
Pb 0.338 0.925 0.399
Pb 0.339 0.773 0.114
Pb 0.227 0.227 0.886
Pb 0.662 0.662 0.601
Pb 0.075 0.662 0.601
Pb 0.662 0.075 0.601
Cd 0.429 0.429 0.714
Cd 0.571 0.571 0.286
Ba 0.711 0.711 0.866
Ba 0.289 0.289 0.134
Ba 0.886 0.886 0.342
Ba 0.114 0.114 0.658
Ag 0.000 0.000 0.000
Ag 0.500 0.500 0.500

Its total energy is -3.14 eV per atom. Its formation energy from the elements is -0.15 eV per atom.